(1)
# GGA-PBE Pr2ZnNi5, relaxed
data_Pr2ZnNi5
_cell_length_a 5.8442
_cell_length_b 5.8442
_cell_length_c 8.1949
_cell_angle_alpha 90.00
_cell_angle_beta 90.00
_cell_angle_gamma 90.00
_symmetry_space_group_name_H-M 'I 4 m m'
_symmetry_Int_Tables_number 107
_symmetry_space_group_name_Hall 'I 4 -2'
loop_
_atom_site_label
_atom_site_type_symbol
_atom_site_fract_x
_atom_site_fract_y
_atom_site_fract_z
Pr1 Pr 0.0000 0.5000 0.0000
Zn1 Zn 0.0000 0.0000 0.2359
Ni1 Ni 0.0000 0.0000 0.5371
Ni2 Ni 0.2090 0.2090 0.7526
# Total energy in eV/cell: -82.19
# DOS at the Fermi energy in states/eV/cell: 7.397
# Formation energy in eV/f.u.: -1.36


(2)
# GGA-PBE NaLa2In, relaxed
data_NaLa2In
_cell_length_a 4.7470
_cell_length_b 4.7470
_cell_length_c 24.2735
_cell_angle_alpha 90.00
_cell_angle_beta 90.00
_cell_angle_gamma 90.00
_symmetry_space_group_name_H-M 'I -4 2 d'
_symmetry_Int_Tables_number 122
_symmetry_space_group_name_Hall 'I -4 2bw'
loop_
_atom_site_label
_atom_site_type_symbol
_atom_site_fract_x
_atom_site_fract_y
_atom_site_fract_z
Na1 Na 0.0000 0.0000 0.0000
La1 La 0.2176 0.2500 0.6250
In1 In 0.0000 0.0000 0.5000
# Total energy in eV/cell: -52.78
# DOS at the Fermi energy in states/eV/cell: 15.799
# Formation energy in eV/f.u.: 0.72


(3)
# GGA-PBE Pu3In2Au4, relaxed
data_Pu3In2Au4
_cell_length_a 10.6275
_cell_length_b 4.9907
_cell_length_c 9.0828
_cell_angle_alpha 90.00
_cell_angle_beta 125.08
_cell_angle_gamma 90.00
_symmetry_space_group_name_H-M 'C 1 2/m 1'
_symmetry_Int_Tables_number 12
loop_
_symmetry_equiv_pos_as_xyz
'x,y,z'
'-x,-y,-z'
'-x,y,-z'
'x,-y,z'
'x+1/2,y+1/2,z'
'-x+1/2,-y+1/2,-z'
'-x+1/2,y+1/2,-z'
'x+1/2,-y+1/2,z'
loop_
_atom_site_label
_atom_site_type_symbol
_atom_site_fract_x
_atom_site_fract_y
_atom_site_fract_z
Pu1 Pu 0.0000 0.0000 0.0000
Pu2 Pu 0.0063 0.0000 0.6705
In1 In 0.1672 0.5000 0.2817
Au1 Au 0.1647 0.5000 0.9448
Au2 Au 0.1672 0.5000 0.6102
# Total energy in eV/cell: -131.21
# DOS at the Fermi energy in states/eV/cell: 47.271
# Formation energy in eV/f.u.: -4.02


(4)
# GGA-PBE CeMg2Cd2Ag2, relaxed
data_CeMg2Cd2Ag2
_cell_length_a 4.8793
_cell_length_b 4.8793
_cell_length_c 23.3358
_cell_angle_alpha 90.00
_cell_angle_beta 90.00
_cell_angle_gamma 120.00
_symmetry_space_group_name_H-M 'R -3 m'
_symmetry_Int_Tables_number 166
_symmetry_space_group_name_Hall '-R 3 2"'
loop_
_atom_site_label
_atom_site_type_symbol
_atom_site_fract_x
_atom_site_fract_y
_atom_site_fract_z
Ce1 Ce 0.0000 0.0000 0.0000
Mg1 Mg 0.0000 0.0000 0.1380
Cd1 Cd 0.0000 0.0000 0.4138
Ag1 Ag 0.0000 0.0000 0.2574
# Total energy in eV/cell: -52.92
# DOS at the Fermi energy in states/eV/cell: 27.698
# Formation energy in eV/f.u.: -0.99


What did the second record say?
# GGA-PBE NaLa2In, relaxed
data_NaLa2In
_cell_length_a 4.7470
_cell_length_b 4.7470
_cell_length_c 24.2735
_cell_angle_alpha 90.00
_cell_angle_beta 90.00
_cell_angle_gamma 90.00
_symmetry_space_group_name_H-M 'I -4 2 d'
_symmetry_Int_Tables_number 122
_symmetry_space_group_name_Hall 'I -4 2bw'
loop_
_atom_site_label
_atom_site_type_symbol
_atom_site_fract_x
_atom_site_fract_y
_atom_site_fract_z
Na1 Na 0.0000 0.0000 0.0000
La1 La 0.2176 0.2500 0.6250
In1 In 0.0000 0.0000 0.5000
# Total energy in eV/cell: -52.78
# DOS at the Fermi energy in states/eV/cell: 15.799
# Formation energy in eV/f.u.: 0.72